Compound: PuCrAg2O6
Source: Alexandria via LeMat-Bulk
Functional: GGA+U
Structure: optimized geometry

Cell: 4.151 5.613 5.613 Å, 90.00 90.00 90.00°
Fractional coordinates of all 10 atoms:
Pu 0.645 0.000 0.000
Cr 0.644 0.500 0.500
Ag 0.144 0.500 0.000
Ag 0.144 0.000 0.500
O 0.645 0.249 0.249
O 0.645 0.249 0.751
O 0.145 0.500 0.500
O 0.145 0.000 0.000
O 0.645 0.751 0.751
O 0.645 0.751 0.249

Output
**Total energy**: -7.10 eV per atom